No. 1
Computed, not measured: a relaxed structure of Cs2Ga3CuF12 at the PBE level of DFT.

a = 7.455 Å, b = 7.455 Å, c = 7.455 Å
α = 59.98°, β = 59.98°, γ = 59.98°
Positions (direct):
Cs1 0.124 0.124 0.124
Cs2 0.876 0.876 0.876
Ga1 0.000 0.500 0.500
Ga2 0.500 0.000 0.500
Ga3 0.500 0.500 0.000
Cu1 0.500 0.500 0.500
F1 0.139 0.582 0.582
F2 0.193 0.193 0.578
F3 0.193 0.578 0.193
F4 0.418 0.418 0.861
F5 0.418 0.861 0.418
F6 0.422 0.807 0.807
F7 0.578 0.193 0.193
F8 0.582 0.139 0.582
F9 0.582 0.582 0.139
F10 0.807 0.422 0.807
F11 0.807 0.807 0.422
F12 0.861 0.418 0.418

## Properties
Density in g cm⁻³: 4.346
Crystal system: trigonal
Formation energy from raw total energies in eV/atom: -2.53
Uncorrected energy in eV/atom: -4.61


No. 2
Computed, not measured: a relaxed structure of Tb2Er3Mg7 at the PBE level of DFT.

a = 13.186 Å, b = 13.186 Å, c = 5.135 Å
α = 90.00°, β = 90.00°, γ = 157.54°
Positions (direct):
Tb1 0.144 0.856 0.000
Tb2 0.856 0.144 0.000
Er1 0.345 0.655 0.500
Er2 0.500 0.500 0.500
Er3 0.655 0.345 0.500
Mg1 0.000 0.000 0.000
Mg2 0.071 0.929 0.500
Mg3 0.272 0.728 0.000
Mg4 0.429 0.571 0.000
Mg5 0.571 0.429 0.000
Mg6 0.728 0.272 0.000
Mg7 0.929 0.071 0.500

## Properties
Formation energy in eV per atom: 0.129
Density in g cm⁻³: 4.819
Crystal system: orthorhombic
Uncorrected energy in eV/atom: -2.71


No. 3
Computed, not measured: a relaxed structure of NaTe4As2 at the PBE level of DFT.

a = 10.157 Å, b = 7.402 Å, c = 9.728 Å
α = 71.26°, β = 43.64°, γ = 65.10°
Positions (direct):
Na1 0.000 0.000 0.000
Na2 0.250 0.250 0.250
Te1 0.001 0.462 0.896
Te2 0.020 0.991 0.303
Te3 0.354 0.610 0.249
Te4 0.462 0.001 0.640
Te5 0.564 0.947 0.259
Te6 0.610 0.354 0.788
Te7 0.947 0.564 0.230
Te8 0.991 0.020 0.686
As1 0.327 0.690 0.515
As2 0.690 0.327 0.467
As3 0.735 0.783 0.923
As4 0.783 0.735 0.560

## Properties
Density in g cm⁻³: 4.958
Crystal system: orthorhombic
Relative energy among the computed polymorphs in eV per formula unit: 0.065
Formation energy from raw total energies in eV/atom: -0.10
Uncorrected energy in eV/atom: -3.41


No. 4
Computed, not measured: a relaxed structure of Er2BRh4Au2 at the PBE level of DFT.

a = 5.872 Å, b = 5.872 Å, c = 5.872 Å
α = 118.78°, β = 118.78°, γ = 92.13°
Positions (direct):
Er1 0.250 0.750 0.500
Er2 0.750 0.250 0.500
B1 0.000 0.000 0.000
Rh1 0.248 0.248 0.496
Rh2 0.248 0.752 0.000
Rh3 0.752 0.248 0.000
Rh4 0.752 0.752 0.504
Au1 0.271 0.271 0.000
Au2 0.729 0.729 0.000

## Properties
Formation energy in eV per atom: -0.758
Density in g cm⁻³: 13.119
Crystal system: tetragonal
Uncorrected energy in eV/atom: -6.51


No. 5
Computed, not measured: a relaxed structure of Nd3Si2GeRh9 at the PBE level of DFT.

a = 6.427 Å, b = 6.427 Å, c = 7.836 Å
α = 90.00°, β = 90.00°, γ = 120.00°
Positions (direct):
Nd1 0.000 0.000 0.000
Nd2 0.333 0.667 0.666
Nd3 0.667 0.333 0.334
Si1 0.333 0.667 0.160
Si2 0.667 0.333 0.840
Ge1 0.000 0.000 0.500
Rh1 0.000 0.500 0.000
Rh2 0.172 0.344 0.332
Rh3 0.172 0.828 0.332
Rh4 0.344 0.172 0.668
Rh5 0.500 0.000 0.000
Rh6 0.500 0.500 0.000
Rh7 0.656 0.828 0.332
Rh8 0.828 0.172 0.668
Rh9 0.828 0.656 0.668

## Properties
Density in g cm⁻³: 8.815
Crystal system: trigonal
Formation energy from raw total energies in eV/atom: -0.57
Uncorrected energy in eV/atom: -6.97


No. 6
Computed, not measured: a relaxed structure of Sn2HgPbAu4 at the PBE level of DFT.

a = 7.152 Å, b = 5.779 Å, c = 7.135 Å
α = 66.29°, β = 47.72°, γ = 65.99°
Positions (direct):
Sn1 0.000 0.000 0.500
Sn2 0.500 0.500 0.000
Hg1 0.247 0.247 0.753
Pb1 0.751 0.751 0.249
Au1 0.003 0.497 0.503
Au2 0.251 0.747 0.749
Au3 0.497 0.003 0.997
Au4 0.747 0.251 0.253

## Properties
Formation energy in eV per atom: -0.038
Density in g cm⁻³: 12.164
Crystal system: orthorhombic
Uncorrected energy in eV/atom: -3.18


No. 7
Computed, not measured: a relaxed structure of SiBRhAuCS at the PBE level of DFT.

a = 5.616 Å, b = 5.616 Å, c = 5.916 Å
α = 116.93°, β = 116.93°, γ = 28.74°
Positions (direct):
Si1 0.000 0.000 0.000
B1 0.707 0.707 0.710
Rh1 0.336 0.336 0.654
Au1 0.718 0.718 0.115
C1 0.954 0.954 0.273
S1 0.505 0.505 0.490

## Properties
Density in g cm⁻³: 8.017
Crystal system: monoclinic
Relative energy among the computed polymorphs in eV per formula unit: 0.900
Formation energy from raw total energies in eV/atom: 0.33
Uncorrected energy in eV/atom: -5.68


No. 8
Computed, not measured: a relaxed structure of Tl3Sn4Hg2 at the PBE level of DFT.

a = 6.698 Å, b = 6.698 Å, c = 9.764 Å
α = 124.21°, β = 124.21°, γ = 48.36°
Positions (direct):
Tl1 0.000 0.000 0.000
Tl2 0.349 0.349 0.028
Tl3 0.651 0.651 0.972
Sn1 0.297 0.297 0.643
Sn2 0.340 0.340 0.362
Sn3 0.660 0.660 0.638
Sn4 0.703 0.703 0.357
Hg1 0.016 0.016 0.681
Hg2 0.984 0.984 0.319

## Properties
Formation energy in eV per atom: 0.030
Density in g cm⁻³: 9.592
Crystal system: monoclinic
Uncorrected energy in eV/atom: -2.60


no.,Fermi-level density of states (states/eV per atom)
1,0.317
2,1.084
3,0.431
4,0.331
5,0.083
6,0.482
7,0.386
8,0.395